(1)
A plane-wave DFT calculation with GGA-PBE was carried out for a relaxed structure of BiPPdAuN. Values from VASP.

Structure (Quantum ESPRESSO input):
```
&SYSTEM
  ibrav = 0, nat = 5, ntyp = 5
/
ATOMIC_SPECIES
Bi 208.98 Bi.upf
P 30.97 P.upf
Pd 106.42 Pd.upf
Au 196.97 Au.upf
N 14.01 N.upf
CELL_PARAMETERS angstrom
4.3262 0.0000 0.0000
0.0000 3.2704 0.0000
-1.7979 0.0000 6.4766
ATOMIC_POSITIONS angstrom
Bi 0.0000 0.0000 0.0000
P 3.3331 1.6352 3.0672
Pd 1.7558 0.0000 2.7375
Au 0.3947 1.6352 5.0723
N 0.2187 1.6352 1.9248
```

Calculated values
* energy relative to the lowest polymorph listed for this composition: 66.5 meV/atom
* size of the total moment: 0.000 μB/atom
* final energy: -5.095 eV per atom
* E_form (uncorrected): 122.1 meV/atom

***

(2)
A plane-wave DFT calculation with GGA-PBE was carried out for a relaxed structure of BiPPdAuN. Values from VASP.

Structure (Quantum ESPRESSO input):
```
&SYSTEM
  ibrav = 0, nat = 10, ntyp = 5
/
ATOMIC_SPECIES
Bi 208.98 Bi.upf
P 30.97 P.upf
Pd 106.42 Pd.upf
Au 196.97 Au.upf
N 14.01 N.upf
CELL_PARAMETERS angstrom
10.6729 0.0000 0.0000
0.0000 2.9230 0.0000
-2.9657 0.0000 5.5838
ATOMIC_POSITIONS angstrom
Bi 0.0000 0.0000 0.0000
Bi 5.3364 1.4615 0.0000
P 2.9105 0.0000 2.3610
P 8.2469 1.4615 2.3610
Pd 2.7807 0.0000 0.0280
Pd 8.1171 1.4615 0.0280
Au -0.1513 1.4615 3.0163
Au 5.1851 0.0000 3.0163
N 2.1718 1.4615 3.0910
N 7.5083 0.0000 3.0910
```

Calculated values
* energy relative to the lowest polymorph listed for this composition: 8.0 meV/atom
* size of the total moment: 0.000 μB/atom
* final energy: -5.154 eV per atom
* E_form (uncorrected): 63.5 meV/atom

***

> Which of these has the lowest energy relative to the lowest polymorph listed for this composition?

number 2